Entry 1:
Material: KAg4Mo
Method: DFT, PBE-GGA
State: optimized geometry

The formation energy is 0.626 eV per atom. As for the total energy: -19.6 eV/f.u.

It has space group F-43m (No. 216), with a = 8.064 Å, b = 8.064 Å, c = 8.064 Å, α = 90.00°, β = 90.00° and γ = 90.00°. The asymmetric unit holds K at (0.000, 0.000, 0.000), Ag at (0.124, 0.124, 0.376) and Mo at (0.250, 0.250, 0.750).

=====

Entry 2:
Material: KAgMo2
Method: DFT, PBE-GGA
State: optimized geometry

The energy above the lowest structure with this stoichiometry is 317 meV/atom. The formation energy is 0.950 eV per atom. As for the total energy: -21.8 eV/f.u.

It has space group Immm (No. 71), with a = 2.639 Å, b = 5.118 Å, c = 12.011 Å, α = 90.00°, β = 90.00° and γ = 90.00°. The asymmetric unit holds K at (0.000, 0.000, 0.000), Ag at (0.000, 0.000, 0.500) and Mo at (0.000, 0.500, 0.216).

=====

Entry 3:
Material: KAgMo3
Method: DFT, PBE-GGA
State: optimized geometry

The energy above the lowest structure with this stoichiometry is 0 meV/atom. The formation energy is 2.500 eV per atom. As for the total energy: -23.9 eV/f.u.

It has space group Pm-3m (No. 221), with a = 5.215 Å, b = 5.215 Å, c = 5.215 Å, α = 90.00°, β = 90.00° and γ = 90.00°. The asymmetric unit holds K at (0.000, 0.000, 0.000), Ag at (0.500, 0.500, 0.500) and Mo at (0.000, 0.500, 0.500).

=====

Entry 4:
Material: KAgMo3
Method: DFT, PBE-GGA
State: optimized geometry

The energy above the lowest structure with this stoichiometry is 518 meV/atom. The formation energy is 3.018 eV per atom. As for the total energy: -21.4 eV/f.u.

It has space group Pm-3m (No. 221), with a = 4.509 Å, b = 4.509 Å, c = 4.509 Å, α = 90.00°, β = 90.00° and γ = 90.00°. The asymmetric unit holds K at (0.000, 0.000, 0.000), Ag at (0.500, 0.500, 0.500) and Mo at (0.000, 0.000, 0.500).

=====

Entry 5:
Material: KAgMo2
Method: DFT, PBE-GGA
State: optimized geometry

The energy above the lowest structure with this stoichiometry is 744 meV/atom. The formation energy is 1.377 eV per atom. As for the total energy: -20.1 eV/f.u.

It has space group F-43m (No. 216), with a = 6.757 Å, b = 6.757 Å, c = 6.757 Å, α = 90.00°, β = 90.00° and γ = 90.00°. The asymmetric unit holds K at (0.000, 0.000, 0.000), Ag at (0.250, 0.250, 0.750), Mo at (0.000, 0.000, 0.500) and Mo at (0.250, 0.250, 0.250).

=====

Entry 6:
Material: KAgMo2
Method: DFT, PBE-GGA
State: optimized geometry

The energy above the lowest structure with this stoichiometry is 353 meV/atom. The formation energy is 0.986 eV per atom. As for the total energy: -21.7 eV/f.u.

It has space group P2/m (No. 10), with a = 2.760 Å, b = 4.853 Å, c = 7.271 Å, α = 90.00°, β = 93.23° and γ = 90.00°. The asymmetric unit holds K at (0.000, 0.000, 0.000), Ag at (0.500, 0.000, 0.500) and Mo at (0.073, 0.500, 0.352).

=====

Entry 7:
Material: KAgMo2
Method: DFT, PBE-GGA
State: optimized geometry

The energy above the lowest structure with this stoichiometry is 408 meV/atom. The formation energy is 1.041 eV per atom. As for the total energy: -21.4 eV/f.u.

It has space group Imm2 (No. 44), with a = 3.161 Å, b = 5.702 Å, c = 10.190 Å, α = 90.00°, β = 90.00° and γ = 90.00°. The asymmetric unit holds K at (0.000, 0.000, 0.000), Ag at (0.000, 0.500, 0.210), Mo at (0.000, 0.000, 0.456) and Mo at (0.000, 0.500, 0.791).

=====

Entry 8:
Material: KAgMo2
Method: DFT, PBE-GGA
State: optimized geometry

The energy above the lowest structure with this stoichiometry is 578 meV/atom. The formation energy is 1.211 eV per atom. As for the total energy: -20.8 eV/f.u.

It has space group Cmmm (No. 65), with a = 5.442 Å, b = 10.978 Å, c = 2.641 Å, α = 90.00°, β = 90.00° and γ = 90.00°. The asymmetric unit holds K at (0.000, 0.000, 0.000), Ag at (0.000, 0.500, 0.000) and Mo at (0.250, 0.250, 0.500).

=====

Entry 9:
Material: KAgMo2
Method: DFT, PBE-GGA
State: optimized geometry

The energy above the lowest structure with this stoichiometry is 535 meV/atom. The formation energy is 1.168 eV per atom. As for the total energy: -20.9 eV/f.u.

It has space group Pmmm (No. 47), with a = 2.676 Å, b = 5.172 Å, c = 5.776 Å, α = 90.00°, β = 90.00° and γ = 90.00°. The asymmetric unit holds K at (0.000, 0.000, 0.000), Ag at (0.500, 0.500, 0.000), Mo at (0.000, 0.500, 0.500) and Mo at (0.500, 0.000, 0.500).

=====

Entry 10:
Material: KAgMo2
Method: DFT, PBE-GGA
State: optimized geometry

The energy above the lowest structure with this stoichiometry is 1218 meV/atom. The formation energy is 1.851 eV per atom. As for the total energy: -18.2 eV/f.u.

It has space group P4/mmm (No. 123), with a = 4.177 Å, b = 4.177 Å, c = 5.346 Å, α = 90.00°, β = 90.00° and γ = 90.00°. The asymmetric unit holds K at (0.000, 0.000, 0.000), Ag at (0.000, 0.000, 0.500) and Mo at (0.500, 0.500, 0.203).

=====

Entry 11:
Material: KAgMo2
Method: DFT, PBE-GGA
State: optimized geometry

The energy above the lowest structure with this stoichiometry is 0 meV/atom. The formation energy is 0.633 eV per atom. As for the total energy: -23.1 eV/f.u.

It has space group Cmm2 (No. 35), with a = 3.247 Å, b = 4.814 Å, c = 10.374 Å, α = 90.00°, β = 90.00° and γ = 90.00°. The asymmetric unit holds K at (0.000, 0.000, 0.000), Ag at (0.000, 0.500, 0.718), Mo at (0.000, 0.000, 0.486) and Mo at (0.000, 0.500, 0.300).

=====

Entry 12:
Material: KAgMo2
Method: DFT, PBE-GGA
State: optimized geometry

The energy above the lowest structure with this stoichiometry is 750 meV/atom. The formation energy is 1.383 eV per atom. As for the total energy: -20.1 eV/f.u.

It has space group I4/mmm (No. 139), with a = 3.839 Å, b = 3.839 Å, c = 10.992 Å, α = 90.00°, β = 90.00° and γ = 90.00°. The asymmetric unit holds K at (0.000, 0.000, 0.000), Ag at (0.000, 0.000, 0.500) and Mo at (0.000, 0.500, 0.250).

=====

The V results, record by record, are as follows: 131, 81, 142, 92, 77, 97, 92, 79, 80, 93, 81, 81 Å³/f.u..